Entry 1:
# K2NaYF6 (PBE, optimized geometry)
data_K2NaYF6
_chemical_formula_sum 'K4 Na2 Y2 F12'
_symmetry_space_group_name_H-M 'P 1'
_symmetry_Int_Tables_number 1
_symmetry_space_group_name_Hall 'P 1'
_cell_length_a 6.199
_cell_length_b 6.319
_cell_length_c 10.726
_cell_angle_alpha 90.00
_cell_angle_beta 124.81
_cell_angle_gamma 90.00
loop_
_atom_site_label
_atom_site_fract_x
_atom_site_fract_y
_atom_site_fract_z
K1 0.238 0.042 0.249
K2 0.238 0.458 0.749
K3 0.762 0.542 0.251
K4 0.762 0.958 0.751
Na1 0.000 0.000 0.500
Na2 0.000 0.500 0.000
Y1 0.500 0.000 0.000
Y2 0.500 0.500 0.500
F1 0.176 0.200 0.959
F2 0.176 0.300 0.459
F3 0.256 0.719 0.954
F4 0.256 0.781 0.454
F5 0.342 0.029 0.758
F6 0.342 0.471 0.258
F7 0.658 0.529 0.742
F8 0.658 0.971 0.242
F9 0.744 0.219 0.546
F10 0.744 0.281 0.046
F11 0.824 0.700 0.541
F12 0.824 0.800 0.041
# - E above lowest polymorph: 0 meV per atom
# - Energy relative to the elements, uncorrected: -3.33 eV/atom
# - N(E_F): 0.00 states/eV/cell
# - Spin magnetization: 0.2 μB per formula unit

---

Entry 2:
# SiB2Br (PBE, optimized geometry)
data_SiB2Br
_chemical_formula_sum 'Si4 B8 Br4'
_symmetry_space_group_name_H-M 'P 1'
_symmetry_Int_Tables_number 1
_symmetry_space_group_name_Hall 'P 1'
_cell_length_a 5.082
_cell_length_b 5.082
_cell_length_c 9.994
_cell_angle_alpha 90.00
_cell_angle_beta 90.00
_cell_angle_gamma 90.00
loop_
_atom_site_label
_atom_site_fract_x
_atom_site_fract_y
_atom_site_fract_z
Si1 0.000 0.000 0.000
Si2 0.000 0.500 0.250
Si3 0.500 0.000 0.750
Si4 0.500 0.500 0.500
B1 0.176 0.250 0.125
B2 0.250 0.676 0.375
B3 0.250 0.824 0.875
B4 0.324 0.250 0.625
B5 0.676 0.750 0.625
B6 0.750 0.176 0.875
B7 0.750 0.324 0.375
B8 0.824 0.750 0.125
Br1 0.000 0.000 0.500
Br2 0.000 0.500 0.750
Br3 0.500 0.000 0.250
Br4 0.500 0.500 0.000
# - E above lowest polymorph: 839 meV per atom
# - Energy relative to the elements, uncorrected: 0.84 eV/atom
# - N(E_F): 9.15 states/eV/cell
# - Spin magnetization: 0.0 μB per formula unit

---

Entry 3:
# CuRuCl6 (PBE, optimized geometry)
data_CuRuCl6
_chemical_formula_sum 'Cu2 Ru2 Cl12'
_symmetry_space_group_name_H-M 'P 1'
_symmetry_Int_Tables_number 1
_symmetry_space_group_name_Hall 'P 1'
_cell_length_a 6.894
_cell_length_b 11.214
_cell_length_c 6.874
_cell_angle_alpha 90.00
_cell_angle_beta 119.79
_cell_angle_gamma 90.00
loop_
_atom_site_label
_atom_site_fract_x
_atom_site_fract_y
_atom_site_fract_z
Cu1 0.000 0.000 0.000
Cu2 0.500 0.500 0.000
Ru1 0.000 0.500 0.500
Ru2 0.500 0.000 0.500
Cl1 0.189 0.500 0.308
Cl2 0.239 0.140 0.239
Cl3 0.239 0.860 0.239
Cl4 0.261 0.360 0.761
Cl5 0.261 0.640 0.761
Cl6 0.311 0.000 0.692
Cl7 0.689 0.000 0.308
Cl8 0.739 0.360 0.239
Cl9 0.739 0.640 0.239
Cl10 0.761 0.140 0.761
Cl11 0.761 0.860 0.761
Cl12 0.811 0.500 0.692
# - E above lowest polymorph: 0 meV per atom
# - Energy relative to the elements, uncorrected: -0.48 eV/atom
# - N(E_F): 2.28 states/eV/cell
# - Spin magnetization: 3.0 μB per formula unit

---

Entry 4:
# Er4PbSe2 (PBE, optimized geometry)
data_Er4PbSe2
_chemical_formula_sum 'Er4 Pb1 Se2'
_symmetry_space_group_name_H-M 'P 1'
_symmetry_Int_Tables_number 1
_symmetry_space_group_name_Hall 'P 1'
_cell_length_a 14.537
_cell_length_b 14.537
_cell_length_c 14.537
_cell_angle_alpha 15.32
_cell_angle_beta 15.32
_cell_angle_gamma 15.32
loop_
_atom_site_label
_atom_site_fract_x
_atom_site_fract_y
_atom_site_fract_z
Er1 0.135 0.135 0.135
Er2 0.281 0.281 0.281
Er3 0.719 0.719 0.719
Er4 0.865 0.865 0.865
Pb1 0.000 0.000 0.000
Se1 0.426 0.426 0.426
Se2 0.574 0.574 0.574
# - E above lowest polymorph: 56 meV per atom
# - Energy relative to the elements, uncorrected: -1.07 eV/atom
# - N(E_F): 5.44 states/eV/cell
# - Spin magnetization: 0.4 μB per formula unit

---

Entry 5:
# NdHoCdIr (PBE, optimized geometry)
data_NdHoCdIr
_chemical_formula_sum 'Nd4 Ho4 Cd4 Ir4'
_symmetry_space_group_name_H-M 'P 1'
_symmetry_Int_Tables_number 1
_symmetry_space_group_name_Hall 'P 1'
_cell_length_a 7.231
_cell_length_b 7.231
_cell_length_c 7.231
_cell_angle_alpha 90.00
_cell_angle_beta 90.00
_cell_angle_gamma 90.00
loop_
_atom_site_label
_atom_site_fract_x
_atom_site_fract_y
_atom_site_fract_z
Nd1 0.000 0.000 0.000
Nd2 0.000 0.500 0.500
Nd3 0.500 0.000 0.500
Nd4 0.500 0.500 0.000
Ho1 0.000 0.000 0.500
Ho2 0.000 0.500 0.000
Ho3 0.500 0.000 0.000
Ho4 0.500 0.500 0.500
Cd1 0.250 0.250 0.250
Cd2 0.250 0.750 0.750
Cd3 0.750 0.250 0.750
Cd4 0.750 0.750 0.250
Ir1 0.250 0.250 0.750
Ir2 0.250 0.750 0.250
Ir3 0.750 0.250 0.250
Ir4 0.750 0.750 0.750
# - N(E_F): 10.30 states/eV/cell
# - Formation enthalpy at 0 K: -480 meV per atom
# - Spin magnetization: 0.0 μB per formula unit

---

Entry 6:
# SbOs2Pt (PBE, optimized geometry)
data_SbOs2Pt
_chemical_formula_sum 'Sb1 Os2 Pt1'
_symmetry_space_group_name_H-M 'P 1'
_symmetry_Int_Tables_number 1
_symmetry_space_group_name_Hall 'P 1'
_cell_length_a 4.562
_cell_length_b 4.562
_cell_length_c 3.103
_cell_angle_alpha 90.00
_cell_angle_beta 90.00
_cell_angle_gamma 90.00
loop_
_atom_site_label
_atom_site_fract_x
_atom_site_fract_y
_atom_site_fract_z
Sb1 0.000 0.000 0.000
Os1 0.000 0.500 0.500
Os2 0.500 0.000 0.500
Pt1 0.500 0.500 0.000
# - Energy relative to the elements, uncorrected: 0.52 eV/atom
# - N(E_F): 2.77 states/eV/cell
# - Spin magnetization: 0.0 μB per formula unit

---

Entry 7:
# LaPm2PbC (PBE, optimized geometry)
data_LaPm2PbC
_chemical_formula_sum 'La1 Pm2 Pb1 C1'
_symmetry_space_group_name_H-M 'P 1'
_symmetry_Int_Tables_number 1
_symmetry_space_group_name_Hall 'P 1'
_cell_length_a 5.117
_cell_length_b 5.117
_cell_length_c 5.201
_cell_angle_alpha 90.00
_cell_angle_beta 90.00
_cell_angle_gamma 90.00
loop_
_atom_site_label
_atom_site_fract_x
_atom_site_fract_y
_atom_site_fract_z
La1 0.000 0.000 0.000
Pm1 0.000 0.500 0.500
Pm2 0.500 0.000 0.500
Pb1 0.500 0.500 0.000
C1 0.000 0.000 0.500
# - N(E_F): 2.74 states/eV/cell
# - Formation enthalpy at 0 K: -426 meV per atom
# - Spin magnetization: 0.0 μB per formula unit

---

Entry 8:
# Tb6Cu2Ni (PBE, optimized geometry)
data_Tb6Cu2Ni
_chemical_formula_sum 'Tb12 Cu4 Ni2'
_symmetry_space_group_name_H-M 'P 1'
_symmetry_Int_Tables_number 1
_symmetry_space_group_name_Hall 'P 1'
_cell_length_a 8.320
_cell_length_b 8.320
_cell_length_c 8.320
_cell_angle_alpha 109.92
_cell_angle_beta 109.29
_cell_angle_gamma 109.20
loop_
_atom_site_label
_atom_site_fract_x
_atom_site_fract_y
_atom_site_fract_z
Tb1 0.028 0.201 0.827
Tb2 0.257 0.583 0.327
Tb3 0.257 0.930 0.673
Tb4 0.261 0.318 0.579
Tb5 0.261 0.682 0.943
Tb6 0.374 0.201 0.173
Tb7 0.626 0.799 0.827
Tb8 0.739 0.318 0.057
Tb9 0.739 0.682 0.421
Tb10 0.743 0.070 0.327
Tb11 0.743 0.417 0.673
Tb12 0.972 0.799 0.173
Cu1 0.000 0.150 0.150
Cu2 0.000 0.850 0.850
Cu3 0.379 0.000 0.379
Cu4 0.621 0.000 0.621
Ni1 0.000 0.500 0.500
Ni2 0.500 0.500 0.000
# - N(E_F): 16.62 states/eV/cell
# - Formation enthalpy at 0 K: -154 meV per atom
# - Spin magnetization: 0.0 μB per formula unit

---

Entry 9:
# CrFe2Te4 (PBE, optimized geometry)
data_CrFe2Te4
_chemical_formula_sum 'Cr1 Fe2 Te4'
_symmetry_space_group_name_H-M 'P 1'
_symmetry_Int_Tables_number 1
_symmetry_space_group_name_Hall 'P 1'
_cell_length_a 5.349
_cell_length_b 4.079
_cell_length_c 7.069
_cell_angle_alpha 90.00
_cell_angle_beta 90.30
_cell_angle_gamma 90.00
loop_
_atom_site_label
_atom_site_fract_x
_atom_site_fract_y
_atom_site_fract_z
Cr1 0.000 0.000 0.000
Fe1 0.000 0.500 0.500
Fe2 0.500 0.500 0.500
Te1 0.243 0.000 0.341
Te2 0.252 0.500 0.831
Te3 0.748 0.500 0.169
Te4 0.757 0.000 0.659
# - E above lowest polymorph: 0 meV per atom
# - Energy relative to the elements, uncorrected: -0.05 eV/atom
# - N(E_F): 5.38 states/eV/cell
# - Spin magnetization: 7.1 μB per formula unit

---

Entry 10:
# Er3Sn2Hg (PBE, optimized geometry)
data_Er3Sn2Hg
_chemical_formula_sum 'Er12 Sn8 Hg4'
_symmetry_space_group_name_H-M 'P 1'
_symmetry_Int_Tables_number 1
_symmetry_space_group_name_Hall 'P 1'
_cell_length_a 12.233
_cell_length_b 4.621
_cell_length_c 11.418
_cell_angle_alpha 90.00
_cell_angle_beta 90.00
_cell_angle_gamma 90.00
loop_
_atom_site_label
_atom_site_fract_x
_atom_site_fract_y
_atom_site_fract_z
Er1 0.035 0.250 0.123
Er2 0.138 0.750 0.575
Er3 0.201 0.250 0.816
Er4 0.299 0.750 0.316
Er5 0.362 0.250 0.075
Er6 0.465 0.750 0.623
Er7 0.535 0.250 0.377
Er8 0.638 0.750 0.925
Er9 0.701 0.250 0.684
Er10 0.799 0.750 0.184
Er11 0.862 0.250 0.425
Er12 0.965 0.750 0.877
Sn1 0.008 0.750 0.326
Sn2 0.182 0.750 0.033
Sn3 0.318 0.250 0.533
Sn4 0.492 0.250 0.826
Sn5 0.508 0.750 0.174
Sn6 0.682 0.750 0.467
Sn7 0.818 0.250 0.967
Sn8 0.992 0.250 0.674
Hg1 0.154 0.250 0.348
Hg2 0.346 0.750 0.848
Hg3 0.654 0.250 0.152
Hg4 0.846 0.750 0.652
# - E above lowest polymorph: 0 meV per atom
# - N(E_F): 16.56 states/eV/cell
# - Formation enthalpy at 0 K: -554 meV per atom
# - Spin magnetization: 0.0 μB per formula unit

---

Entry 11:
# MnZnTe (PBE, optimized geometry)
data_MnZnTe
_chemical_formula_sum 'Mn4 Zn4 Te4'
_symmetry_space_group_name_H-M 'P 1'
_symmetry_Int_Tables_number 1
_symmetry_space_group_name_Hall 'P 1'
_cell_length_a 12.926
_cell_length_b 3.904
_cell_length_c 5.439
_cell_angle_alpha 90.00
_cell_angle_beta 108.30
_cell_angle_gamma 90.00
loop_
_atom_site_label
_atom_site_fract_x
_atom_site_fract_y
_atom_site_fract_z
Mn1 0.000 0.000 0.000
Mn2 0.209 0.000 0.296
Mn3 0.500 0.500 0.000
Mn4 0.709 0.500 0.296
Zn1 0.179 0.000 0.810
Zn2 0.311 0.500 0.132
Zn3 0.679 0.500 0.810
Zn4 0.811 0.000 0.132
Te1 0.081 0.500 0.380
Te2 0.383 0.000 0.702
Te3 0.581 0.000 0.380
Te4 0.883 0.500 0.702
# - E above lowest polymorph: 222 meV per atom
# - Energy relative to the elements, uncorrected: 0.12 eV/atom
# - N(E_F): 7.37 states/eV/cell
# - Spin magnetization: 3.5 μB per formula unit